{"formula": "PrLuScAl", "functional": "PBE", "state": "relaxed", "e_form_ev_per_atom": -0.0859, "space_group": "F-43m (216)", "lattice": [[0.0000, 3.7283, 3.7283], [3.7283, 0.0000, 3.7283], [3.7283, 3.7283, 0.0000]], "species": ["Pr", "Lu", "Sc", "Al"], "fractional_positions": [[0.0000, 0.0000, 0.0000], [0.5000, 0.5000, 0.5000], [0.2500, 0.2500, 0.2500], [0.7500, 0.7500, 0.7500]]}